# ScTaIr (SCAN, single point on PBEsol structure)
data_ScTaIr
_chemical_formula_sum 'Sc1 Ta1 Ir1'
_symmetry_space_group_name_H-M 'P 1'
_symmetry_Int_Tables_number 1
_cell_length_a 2.966
_cell_length_b 2.966
_cell_length_c 6.797
_cell_angle_alpha 90.00
_cell_angle_beta 90.00
_cell_angle_gamma 120.00
loop_
_symmetry_equiv_pos_as_xyz
'x,y,z'
loop_
_atom_site_label
_atom_site_fract_x
_atom_site_fract_y
_atom_site_fract_z
Ir1 0.000 0.000 0.007
Ta1 0.667 0.333 0.316
Sc1 0.333 0.667 0.678
# crystal system: trigonal
# total DFT energy (no corrections): -50.8199 eV/atom
# calculated volume: 17.27 A^3/atom

=====

# ScTa2Ir (SCAN, single point on PBEsol structure)
data_ScTa2Ir
_chemical_formula_sum 'Sc1 Ta2 Ir1'
_symmetry_space_group_name_H-M 'P 1'
_symmetry_Int_Tables_number 1
_cell_length_a 2.873
_cell_length_b 4.569
_cell_length_c 5.290
_cell_angle_alpha 90.00
_cell_angle_beta 102.72
_cell_angle_gamma 90.00
loop_
_symmetry_equiv_pos_as_xyz
'x,y,z'
loop_
_atom_site_label
_atom_site_fract_x
_atom_site_fract_y
_atom_site_fract_z
Sc1 0.000 0.500 0.500
Ta1 0.730 0.000 0.755
Ta2 0.270 0.000 0.245
Ir1 0.500 0.500 0.000
# crystal system: monoclinic
# total DFT energy (no corrections): -54.9588 eV/atom
# calculated volume: 16.93 A^3/atom

=====

The lowest total DFT energy (no corrections) belongs to which entry?
ScTa2Ir

=====

Which value of total DFT energy (no corrections) does entry 1 give?
-50.8199 eV/atom

=====

What is the formula in the first record?
ScTaIr